Here is an optimized crystal structure of Ba4SnBi8 from Alexandria via LeMat-Bulk. Energies are from PBE-GGA.

Cell: 4.827 5.241 19.562 Å, 90.00 90.00 90.00°
Element x y z (fractional)
Ba 0.000 0.000 0.000
Ba 0.000 0.500 0.465
Ba 0.500 0.000 0.778
Ba 0.500 0.500 0.275
Sn 0.000 0.500 0.706
Bi 0.000 0.000 0.310
Bi 0.000 0.000 0.615
Bi 0.000 0.500 0.132
Bi 0.000 0.500 0.865
Bi 0.500 0.000 0.144
Bi 0.500 0.000 0.419
Bi 0.500 0.500 0.612
Bi 0.500 0.500 0.976

Output
Its energy of formation is -0.540 eV/atom. The crystal system is orthorhombic.

---

Here is an optimized crystal structure of ZnCu2Br from Alexandria via LeMat-Bulk. Energies are from PBE-GGA.

Cell: 3.334 3.274 6.500 Å, 90.00 90.29 90.00°
Element x y z (fractional)
Zn 0.000 0.000 0.000
Cu 0.498 0.500 0.813
Cu 0.997 0.000 0.633
Br 0.001 0.500 0.328

Output
The energy above the lowest structure with this stoichiometry comes out at 52 meV per atom. The crystal system is monoclinic. The raw formation energy is 98 meV per atom.

---

Here is an optimized crystal structure of La2Mg16Pd from Alexandria via LeMat-Bulk. Energies are from PBE-GGA.

Cell: 7.766 7.766 7.766 Å, 82.45 82.45 82.45°
Element x y z (fractional)
La 0.000 0.000 0.000
La 0.343 0.343 0.343
Mg 0.021 0.021 0.518
Mg 0.021 0.518 0.021
Mg 0.155 0.682 0.682
Mg 0.325 0.325 0.828
Mg 0.325 0.828 0.325
Mg 0.377 0.675 0.971
Mg 0.377 0.971 0.675
Mg 0.518 0.021 0.021
Mg 0.592 0.592 0.592
Mg 0.675 0.377 0.971
Mg 0.675 0.971 0.377
Mg 0.682 0.155 0.682
Mg 0.682 0.682 0.155
Mg 0.828 0.325 0.325
Mg 0.971 0.377 0.675
Mg 0.971 0.675 0.377
Pd 0.780 0.780 0.780

Output
Its energy of formation is -0.122 eV/atom. The crystal system is trigonal.

---

Here is an optimized crystal structure of CoReSe2 from Alexandria via LeMat-Bulk. Energies are from PBE-GGA.

Cell: 6.612 6.612 6.612 Å, 131.23 131.23 71.45°
Element x y z (fractional)
Co 0.000 0.000 0.000
Co 0.750 0.250 0.500
Re 0.250 0.750 0.500
Re 0.500 0.500 0.000
Se 0.110 0.625 0.985
Se 0.375 0.360 0.485
Se 0.640 0.125 0.015
Se 0.875 0.890 0.515

Output
The energy above the lowest structure with this stoichiometry comes out at 398 meV per atom. The crystal system is tetragonal. The raw formation energy is 311 meV per atom.

---

Here is an optimized crystal structure of FeAsIr from Alexandria via LeMat-Bulk. Energies are from PBE-GGA.

Cell: 5.559 2.947 5.941 Å, 90.00 111.64 90.00°
Element x y z (fractional)
Fe 0.000 0.000 0.000
Fe 0.152 0.000 0.641
As 0.388 0.500 0.958
As 0.696 0.000 0.584
Ir 0.327 0.500 0.359
Ir 0.822 0.500 0.273

Output
Its energy of formation is -0.028 eV/atom. The crystal system is monoclinic.

---

Here is an optimized crystal structure of CeSnHAu from Alexandria via LeMat-Bulk. Energies are from PBE-GGA.

Cell: 4.638 4.638 4.204 Å, 90.00 90.00 120.00°
Element x y z (fractional)
Ce 0.000 0.000 0.000
Sn 0.333 0.667 0.550
H 0.667 0.333 0.001
Au 0.667 0.333 0.427

Output
The calculation puts the total energy at -4.66 eV/atom. The crystal system is trigonal.

---

Here is an optimized crystal structure of Sm3InPd12 from Alexandria via LeMat-Bulk. Energies are from PBE-GGA.

Cell: 4.156 4.156 16.447 Å, 90.00 90.00 90.00°
Element x y z (fractional)
Sm 0.000 0.000 0.000
Sm 0.000 0.000 0.255
Sm 0.000 0.000 0.745
In 0.000 0.000 0.500
Pd 0.000 0.500 0.127
Pd 0.000 0.500 0.382
Pd 0.000 0.500 0.618
Pd 0.000 0.500 0.873
Pd 0.500 0.000 0.127
Pd 0.500 0.000 0.382
Pd 0.500 0.000 0.618
Pd 0.500 0.000 0.873
Pd 0.500 0.500 0.000
Pd 0.500 0.500 0.255
Pd 0.500 0.500 0.500
Pd 0.500 0.500 0.745

Output
Its energy of formation is -0.714 eV/atom. The crystal system is tetragonal.

---

Here is an optimized crystal structure of CsCd4Au from Alexandria via LeMat-Bulk. Energies are from PBE-GGA.

Cell: 10.014 10.014 5.641 Å, 100.49 100.49 45.00°
Element x y z (fractional)
Cs 0.216 0.216 0.171
Cs 0.784 0.784 0.829
Cd 0.093 0.732 0.417
Cd 0.199 0.801 0.000
Cd 0.268 0.907 0.583
Cd 0.409 0.409 0.694
Cd 0.591 0.591 0.306
Cd 0.732 0.093 0.417
Cd 0.801 0.199 0.000
Cd 0.907 0.268 0.583
Au 0.417 0.417 0.186
Au 0.583 0.583 0.814

Output
Its energy of formation is -0.099 eV/atom. The energy above the lowest structure with this stoichiometry comes out at 0 meV per atom. The crystal system is monoclinic.

---

Here is an optimized crystal structure of YEr5Ag6 from Alexandria via LeMat-Bulk. Energies are from PBE-GGA.

Cell: 8.109 8.109 7.158 Å, 90.00 90.00 143.10°
Element x y z (fractional)
Y 0.000 0.000 0.000
Er 0.000 0.000 0.500
Er 0.333 0.667 0.000
Er 0.334 0.666 0.500
Er 0.666 0.334 0.500
Er 0.667 0.333 0.000
Ag 0.168 0.832 0.252
Ag 0.168 0.832 0.748
Ag 0.500 0.500 0.253
Ag 0.500 0.500 0.747
Ag 0.832 0.168 0.252
Ag 0.832 0.168 0.748

Output
Its energy of formation is -0.336 eV/atom. The crystal system is orthorhombic.

---

Here is an optimized crystal structure of Sr6Te3AsI2 from Alexandria via LeMat-Bulk. Energies are from PBE-GGA.

Cell: 8.193 8.193 8.091 Å, 99.69 99.69 119.75°
Element x y z (fractional)
Sr 0.083 0.387 0.750
Sr 0.216 0.216 0.243
Sr 0.387 0.083 0.750
Sr 0.613 0.917 0.250
Sr 0.784 0.784 0.757
Sr 0.917 0.613 0.250
Te 0.177 0.823 0.000
Te 0.500 0.500 0.000
Te 0.823 0.177 0.000
As 0.000 0.000 0.500
I 0.336 0.664 0.500
I 0.664 0.336 0.500

Output
The crystal system is monoclinic. The raw formation energy is -1542 meV per atom.

---

Here is an optimized crystal structure of LaPr3Y5 from Alexandria via LeMat-Bulk. Energies are from PBE-GGA.

Cell: 10.075 10.075 10.075 Å, 128.17 128.17 76.35°
Element x y z (fractional)
La 0.250 0.750 0.500
La 0.750 0.250 0.500
Pr 0.118 0.618 0.736
Pr 0.250 0.250 0.000
Pr 0.382 0.118 0.500
Pr 0.618 0.882 0.500
Pr 0.750 0.750 0.000
Pr 0.882 0.382 0.264
Y 0.000 0.000 0.000
Y 0.071 0.156 0.500
Y 0.156 0.656 0.085
Y 0.344 0.429 0.500
Y 0.429 0.929 0.085
Y 0.500 0.500 0.000
Y 0.571 0.071 0.915
Y 0.656 0.571 0.500
Y 0.844 0.344 0.915
Y 0.929 0.844 0.500

Output
Its energy of formation is 0.221 eV/atom. The crystal system is tetragonal.

---

Here is an optimized crystal structure of PPdSe2N from Alexandria via LeMat-Bulk. Energies are from PBE-GGA.

Cell: 5.093 5.093 3.698 Å, 90.00 90.00 90.00°
Element x y z (fractional)
P 0.000 0.000 0.000
Pd 0.500 0.500 0.500
Se 0.000 0.500 0.500
Se 0.500 0.000 0.500
N 0.500 0.500 0.000

Output
The energy above the lowest structure with this stoichiometry comes out at 561 meV per atom. The crystal system is tetragonal. The raw formation energy is 1044 meV per atom.